# 1
5
Lattice="4.071 0.000 0.000 0.000 4.071 0.000 0.000 0.000 6.073" Properties=species:S:1:pos:R:3 comment="SiPt2IO, optimized geometry, DFT PBE-GGA" spacegroup="No. 123" formation_energy_uncorrected_mev_per_atom=603 dft_energy_ev_per_atom=-4.20 pbc="T T T"
Si 0.000 0.000 0.000
Pt 0.000 2.036 3.036
Pt 2.036 0.000 3.036
I 2.036 2.036 0.000
O 2.036 2.036 3.036

=====

# 2
5
Lattice="3.861 0.000 0.000 0.000 3.861 0.000 0.000 0.000 7.702" Properties=species:S:1:pos:R:3 comment="TcPtIO2, optimized geometry, DFT PBE-GGA" spacegroup="No. 123" de_polymorph_ev_per_atom=1.018 formation_energy_uncorrected_mev_per_atom=601 dft_energy_ev_per_atom=-4.97 pbc="T T T"
Tc 0.000 0.000 0.000
Pt 1.931 1.931 3.851
I 1.931 1.931 0.000
O 0.000 1.931 3.851
O 1.931 0.000 3.851

=====

# 3
5
Lattice="5.715 0.000 0.000 0.000 5.715 0.000 0.000 0.000 3.809" Properties=species:S:1:pos:R:3 comment="TcPtI2O, optimized geometry, DFT PBE-GGA" spacegroup="No. 123" de_polymorph_ev_per_atom=0.474 formation_energy_uncorrected_mev_per_atom=676 dft_energy_ev_per_atom=-4.22 pbc="T T T"
Tc 0.000 0.000 0.000
Pt 2.858 2.858 1.904
I 0.000 2.858 1.904
I 2.858 0.000 1.904
O 2.858 2.858 0.000

=====

# 4
5
Lattice="3.921 0.000 0.000 0.000 3.921 0.000 0.000 0.000 5.733" Properties=species:S:1:pos:R:3 comment="TcPtIO2, optimized geometry, DFT PBE-GGA" spacegroup="No. 123" de_polymorph_ev_per_atom=0.884 formation_energy_uncorrected_mev_per_atom=467 dft_energy_ev_per_atom=-5.11 pbc="T T T"
Tc 0.000 0.000 0.000
Pt 0.000 0.000 2.867
I 1.960 1.960 0.000
O 0.000 1.960 2.867
O 1.960 0.000 2.867

=====

# 5
5
Lattice="3.796 0.000 0.000 0.000 3.796 0.000 0.000 0.000 6.046" Properties=species:S:1:pos:R:3 comment="TcPtIO2, optimized geometry, DFT PBE-GGA" spacegroup="No. 123" de_polymorph_ev_per_atom=0.000 formation_energy_uncorrected_mev_per_atom=-417 dft_energy_ev_per_atom=-5.99 pbc="T T T"
Tc 0.000 0.000 0.000
Pt 1.898 1.898 3.023
I 0.000 0.000 3.023
O 0.000 1.898 0.000
O 1.898 0.000 0.000

=====

# 6
5
Lattice="5.460 0.000 0.000 0.000 5.460 0.000 0.000 0.000 3.695" Properties=species:S:1:pos:R:3 comment="TcPtI2O, optimized geometry, DFT PBE-GGA" spacegroup="No. 123" de_polymorph_ev_per_atom=0.000 formation_energy_uncorrected_mev_per_atom=202 dft_energy_ev_per_atom=-4.69 pbc="T T T"
Tc 0.000 0.000 0.000
Pt 2.730 2.730 1.847
I 0.000 2.730 0.000
I 2.730 0.000 0.000
O 0.000 0.000 1.847